Entry from Alexandria via LeMat-Bulk: LaBeSb after structural relaxation (GGA-PBE).

The structure belongs to space group Fddd (No. 70, origin choice 2); the cell edges are 8.587, 11.440 and 13.288 Å and the angles 90.00°, 90.00° and 90.00°. The inequivalent atoms are La at (0.125, 0.317, 0.125), Be at (0.000, 0.000, 0.500) and Sb at (0.103, 0.375, 0.875).

The calculation puts the total energy at -4.310 eV/atom. The calculation puts the size of the total moment at 0.0 μB per cell. Its calculated density is 5489 kg/m³. The energy above the most stable polymorph in this dataset is 598 meV/atom.



Entry from Alexandria via LeMat-Bulk: MnGaFe5 after structural relaxation (GGA-PBE).

The structure belongs to space group C2/c (No. 15); the cell edges are 8.095, 5.288 and 9.010 Å and the angles 90.00°, 112.84° and 90.00°. The inequivalent atoms are Mn at (0.000, 0.097, 0.250), Ga at (0.250, 0.250, 0.000), Fe at (0.000, 0.372, 0.750), Fe at (0.106, 0.338, 0.498) and Fe at (0.239, 0.386, 0.257).

The calculation puts the total energy at -7.531 eV/atom. The calculation puts the size of the total moment at 50.2 μB per cell. Its calculated density is 7547 kg/m³. For the formation energy, the calculation gives 0.26 eV/atom.



Entry from Alexandria via LeMat-Bulk: ScBr2 after structural relaxation (GGA-PBE).

The structure belongs to space group I4/mmm (No. 139); the cell edges are 3.400, 3.400 and 14.187 Å and the angles 90.00°, 90.00° and 90.00°. The inequivalent atoms are Sc at (0.000, 0.000, 0.000) and Br at (0.000, 0.000, 0.384).

The calculation puts the total energy at -4.589 eV/atom. The calculation puts the size of the total moment at 0.0 μB per cell. Its calculated density is 4147 kg/m³.



Entry from Alexandria via LeMat-Bulk: Cu2TeAs after structural relaxation (GGA-PBE).

The structure belongs to space group F-43m (No. 216); the cell edges are 6.650, 6.650 and 6.650 Å and the angles 90.00°, 90.00° and 90.00°. The inequivalent atoms are Cu at (0.000, 0.000, 0.000), Cu at (0.250, 0.250, 0.250), Te at (0.000, 0.000, 0.500) and As at (0.250, 0.250, 0.750).

The calculation puts the total energy at -3.467 eV/atom. The calculation puts the size of the total moment at 0.0 μB per cell. Its calculated density is 7443 kg/m³. The energy above the most stable polymorph in this dataset is 470 meV/atom.



Entry from Alexandria via LeMat-Bulk: LiAcGd after structural relaxation (GGA-PBE).

The structure belongs to space group I4mm (No. 107); the cell edges are 3.876, 3.876 and 12.929 Å and the angles 90.00°, 90.00° and 90.00°. The inequivalent atoms are Li at (0.000, 0.000, 0.000), Ac at (0.000, 0.000, 0.666) and Gd at (0.000, 0.000, 0.361).

The calculation puts the total energy at -6.625 eV/atom. The calculation puts the size of the total moment at 15.5 μB per cell. Its calculated density is 6690 kg/m³. For the formation energy, the calculation gives 0.08 eV/atom. The energy above the most stable polymorph in this dataset is 0 meV/atom.



Entry from Alexandria via LeMat-Bulk: SrMg6Hg12 after structural relaxation (GGA-PBE).

The structure belongs to space group R-3 (No. 148, hexagonal axes); the cell edges are 13.9769, 13.9769 and 8.0464 Å and the angles 90.00°, 90.00° and 120.00°. The inequivalent atoms are Sr at (0.0000, 0.0000, 0.0000), Mg at (0.0164, 0.7580, 0.3024), Hg at (0.0003, 0.1407, 0.3462) and Hg at (0.0550, 0.4855, 0.6933).

The calculation puts the total energy at -0.966 eV/atom. The calculation puts the size of the total moment at 0.0 μB per cell. Its calculated density is 9663 kg/m³. For the formation energy, the calculation gives -0.18 eV/atom. The energy above the most stable polymorph in this dataset is 0 meV/atom.



Entry from Alexandria via LeMat-Bulk: CePmTe3 after structural relaxation (GGA-PBE).

The structure belongs to space group Pnma (No. 62); the cell edges are 8.388, 4.456 and 17.444 Å and the angles 90.00°, 90.00° and 90.00°. The inequivalent atoms are Ce at (0.132, 0.250, 0.204), Pm at (0.232, 0.750, 0.457), Te at (0.002, 0.250, 0.391), Te at (0.120, 0.750, 0.067) and Te at (0.154, 0.250, 0.781).

The calculation puts the total energy at -5.432 eV/atom. The calculation puts the size of the total moment at 3.8 μB per cell. Its calculated density is 6803 kg/m³. The energy above the most stable polymorph in this dataset is 0 meV/atom.



Entry from Alexandria via LeMat-Bulk: ZnTc2AgSn after structural relaxation (GGA-PBE).

The structure belongs to space group P4/mmm (No. 123); the cell edges are 4.675, 4.675 and 4.633 Å and the angles 90.00°, 90.00° and 90.00°. The inequivalent atoms are Zn at (0.000, 0.000, 0.000), Tc at (0.000, 0.500, 0.000), Ag at (0.000, 0.000, 0.500) and Sn at (0.500, 0.500, 0.500).

The calculation puts the total energy at -4.609 eV/atom. The calculation puts the size of the total moment at 3.6 μB per cell. Its calculated density is 8000 kg/m³. For the formation energy, the calculation gives 1.16 eV/atom.



Entry from Alexandria via LeMat-Bulk: Ba2Si2Pt after structural relaxation (GGA-PBE).

The structure belongs to space group Cmcm (No. 63); the cell edges are 10.187, 7.606 and 7.184 Å and the angles 90.00°, 90.00° and 90.00°. The inequivalent atoms are Ba at (0.196, 0.000, 0.000), Si at (0.000, 0.342, 0.086) and Pt at (0.000, 0.363, 0.750).

The calculation puts the total energy at -4.536 eV/atom. The calculation puts the size of the total moment at 0.0 μB per cell. Its calculated density is 6276 kg/m³. The energy above the most stable polymorph in this dataset is 11 meV/atom.



Entry from Alexandria via LeMat-Bulk: TlTe4Au after structural relaxation (GGA-PBE).

The structure belongs to space group P-1 (No. 2); the cell edges are 4.928, 5.657 and 8.340 Å and the angles 96.95°, 104.39° and 102.37°. The inequivalent atoms are Tl at (0.000, 0.000, 0.000), Te at (0.279, 0.721, 0.701), Te at (0.494, 0.686, 0.226) and Au at (0.500, 0.000, 0.500).

The calculation puts the total energy at -3.083 eV/atom. The calculation puts the size of the total moment at 0.0 μB per cell. Its calculated density is 7003 kg/m³. The energy above the most stable polymorph in this dataset is 0 meV/atom.



Entry from Alexandria via LeMat-Bulk: Tb2Nd2ErTm after structural relaxation (GGA-PBE).

The structure belongs to space group Pmma (No. 51); the cell edges are 7.009, 5.643 and 9.787 Å and the angles 90.00°, 90.00° and 90.00°. The inequivalent atoms are Tb at (0.250, 0.000, 0.164), Tb at (0.250, 0.500, 0.668), Nd at (0.000, 0.500, 0.000), Nd at (0.250, 0.000, 0.822), Er at (0.250, 0.500, 0.342) and Tm at (0.000, 0.000, 0.500).

The calculation puts the total energy at -4.573 eV/atom. The calculation puts the size of the total moment at 0.0 μB per cell. Its calculated density is 8086 kg/m³. For the formation energy, the calculation gives 0.07 eV/atom.



Entry from Alexandria via LeMat-Bulk: Sc2VHgC after structural relaxation (GGA-PBE).

The structure belongs to space group P4/mmm (No. 123); the cell edges are 4.589, 4.589 and 4.025 Å and the angles 90.00°, 90.00° and 90.00°. The inequivalent atoms are Sc at (0.000, 0.500, 0.000), V at (0.000, 0.000, 0.500), Hg at (0.500, 0.500, 0.500) and C at (0.000, 0.000, 0.000).

The calculation puts the total energy at -6.680 eV/atom. The calculation puts the size of the total moment at 1.8 μB per cell. Its calculated density is 6922 kg/m³. For the formation energy, the calculation gives -0.42 eV/atom.